(1)
An optimized crystal structure of Al2CuW. Source: the Alexandria database, functional GGA-PBEsol.

It has space group Pmm2 (No. 25), with a = 2.766 Å, b = 4.477 Å, c = 4.623 Å, α = 90.00°, β = 90.00° and γ = 90.00°. The asymmetric unit holds Al at (0.000, 0.000, 0.000), Al at (0.000, 0.500, 0.401), Cu at (0.500, 0.500, 0.888) and W at (0.500, 0.000, 0.505).

As for the energy relative to the elements: -20 meV per atom. The distance to the lowest polymorph of the same formula comes out at 50 meV per atom.

=====

(2)
An optimized crystal structure of La4In5S13. Source: the Alexandria database, functional GGA-PBEsol.

It has space group Pbam (No. 55), with a = 11.797 Å, b = 21.444 Å, c = 3.991 Å, α = 90.00°, β = 90.00° and γ = 90.00°. The asymmetric unit holds La at (0.020, 0.167, 0.000), La at (0.165, 0.344, 0.000), In at (0.000, 0.500, 0.000), In at (0.149, 0.671, 0.500), In at (0.155, 0.992, 0.500), S at (0.000, 0.000, 0.000), S at (0.002, 0.411, 0.500), S at (0.074, 0.261, 0.500), S at (0.154, 0.867, 0.500), S at (0.166, 0.112, 0.500), S at (0.174, 0.738, 0.000) and S at (0.204, 0.480, 0.000).

For the formation energy without anion corrections, the calculation gives -1.320 eV/atom.

=====

(3)
An optimized crystal structure of Li3SnP. Source: the Alexandria database, functional GGA-PBEsol.

It has space group Pm-3m (No. 221), with a = 4.597 Å, b = 4.597 Å, c = 4.597 Å, α = 90.00°, β = 90.00° and γ = 90.00°. The asymmetric unit holds Li at (0.000, 0.000, 0.500), Sn at (0.500, 0.500, 0.500) and P at (0.000, 0.000, 0.000).

As for the energy relative to the elements: -189 meV per atom.

=====

(4)
An optimized crystal structure of VCrP2. Source: the Alexandria database, functional GGA-PBEsol.

It has space group Pmc2_1 (No. 26), with a = 3.058 Å, b = 6.018 Å, c = 5.341 Å, α = 90.00°, β = 90.00° and γ = 90.00°. The asymmetric unit holds V at (0.000, 0.059, 0.000), Cr at (0.500, 0.437, 0.015), P at (0.000, 0.322, 0.320) and P at (0.500, 0.196, 0.687).

As for the energy relative to the elements: -764 meV per atom.

=====

(5)
An optimized crystal structure of LiSiSe2. Source: the Alexandria database, functional GGA-PBEsol.

It has space group Immm (No. 71), with a = 3.392 Å, b = 6.893 Å, c = 7.396 Å, α = 90.00°, β = 90.00° and γ = 90.00°. The asymmetric unit holds Li at (0.000, 0.000, 0.000), Si at (0.000, 0.000, 0.500) and Se at (0.000, 0.500, 0.230).

For the formation energy without anion corrections, the calculation gives -0.273 eV/atom.

=====

(6)
An optimized crystal structure of TmSi. Source: the Alexandria database, functional GGA-PBEsol.

It has space group Cmcm (No. 63), with a = 4.160 Å, b = 10.284 Å, c = 3.748 Å, α = 90.00°, β = 90.00° and γ = 90.00°. The asymmetric unit holds Tm at (0.000, 0.141, 0.250) and Si at (0.000, 0.422, 0.250).

For the formation energy without anion corrections, the calculation gives -0.890 eV/atom.

=====

(7)
An optimized crystal structure of Ag2PbSe2. Source: the Alexandria database, functional GGA-PBEsol.

It has space group I4/mmm (No. 139), with a = 3.942 Å, b = 3.942 Å, c = 14.215 Å, α = 90.00°, β = 90.00° and γ = 90.00°. The asymmetric unit holds Ag at (0.000, 0.500, 0.250), Pb at (0.000, 0.000, 0.000) and Se at (0.000, 0.000, 0.385).

For the formation energy without anion corrections, the calculation gives -0.178 eV/atom.

=====

(8)
An optimized crystal structure of ZnCuAu2. Source: the Alexandria database, functional GGA-PBEsol.

It has space group Pm (No. 6), with a = 2.859 Å, b = 4.139 Å, c = 5.172 Å, α = 90.00°, β = 105.17° and γ = 90.00°. The asymmetric unit holds Zn at (0.000, 0.000, 0.000), Cu at (0.870, 0.500, 0.723), Au at (0.278, 0.000, 0.534) and Au at (0.595, 0.500, 0.194).

As for the energy relative to the elements: -131 meV per atom.

=====

no.,final energy (eV per atom)
1,-6.6011
2,-5.5611
3,-3.3793
4,-8.6287
5,-4.1263
6,-6.2125
7,-3.8420
8,-3.5721